No. 1
Density functional theory data (PBE) for a relaxed structure of AlCdSe2.

The total energy comes out at -0.2410 Ry per atom. The calculation puts the total magnetic moment at 0.00 μB per cell. For the offset from the most stable computed form, the calculation gives 153.7 meV per atom. The value obtained for the uncorrected formation energy is -372 meV/atom.

It has space group Amm2 (No. 38), with a = 3.826 Å, b = 3.604 Å, c = 13.439 Å, α = 90.00°, β = 90.00° and γ = 90.00°. The asymmetric unit holds Al at (0.000, 0.000, 0.000), Cd at (0.500, 0.000, 0.238), Se at (0.000, 0.000, 0.657) and Se at (0.500, 0.000, 0.438).



No. 2
Density functional theory data (PBE) for a relaxed structure of CaHg4Pt.

The energy of formation from the pure elements is -0.05 eV/atom. The total energy comes out at -0.1168 Ry per atom. The calculation puts the total magnetic moment at 0.00 μB per cell.

It has space group F-43m (No. 216), with a = 8.201 Å, b = 8.201 Å, c = 8.201 Å, α = 90.00°, β = 90.00° and γ = 90.00°. The asymmetric unit holds Ca at (0.000, 0.000, 0.000), Hg at (0.125, 0.125, 0.625) and Pt at (0.250, 0.250, 0.250).



No. 3
Density functional theory data (PBE) for a relaxed structure of CoCu3Mo.

The energy of formation from the pure elements is 1.27 eV/atom. The total energy comes out at -0.3506 Ry per atom. The calculation puts the total magnetic moment at 5.06 μB per cell. For the offset from the most stable computed form, the calculation gives 0.0 meV per atom.

It has space group Pm-3m (No. 221), with a = 4.323 Å, b = 4.323 Å, c = 4.323 Å, α = 90.00°, β = 90.00° and γ = 90.00°. The asymmetric unit holds Co at (0.000, 0.000, 0.000), Cu at (0.000, 0.000, 0.500) and Mo at (0.500, 0.500, 0.500).



No. 4
Density functional theory data (PBE) for a relaxed structure of SrSn3Rh3.

The energy of formation from the pure elements is -0.22 eV/atom. The total energy comes out at -0.3917 Ry per atom. The calculation puts the total magnetic moment at 0.00 μB per cell. For the offset from the most stable computed form, the calculation gives 138.6 meV per atom.

It has space group Pm-3n (No. 223), with a = 7.239 Å, b = 7.239 Å, c = 7.239 Å, α = 90.00°, β = 90.00° and γ = 90.00°. The asymmetric unit holds Sr at (0.000, 0.000, 0.000), Sn at (0.000, 0.250, 0.500) and Rh at (0.000, 0.500, 0.250).



No. 5
Density functional theory data (PBE) for a relaxed structure of La2DyCu12Ni3.

The energy of formation from the pure elements is 0.24 eV/atom. The total energy comes out at -0.3130 Ry per atom. The calculation puts the total magnetic moment at 0.00 μB per cell.

It has space group R-3m (No. 166, hexagonal axes), with a = 6.3753 Å, b = 6.3753 Å, c = 26.6402 Å, α = 90.00°, β = 90.00° and γ = 120.00°. The asymmetric unit holds La at (0.0000, 0.0000, 0.1380), Dy at (0.0000, 0.0000, 0.5000), Cu at (0.0614, 0.5307, 0.9058), Cu at (0.0784, 0.5392, 0.6266) and Ni at (0.0000, 0.5000, 0.0000).



No. 6
Density functional theory data (PBE) for a relaxed structure of KAlN3.

The total energy comes out at -0.2256 Ry per atom. The calculation puts the total magnetic moment at 7.00 μB per cell. The value obtained for the uncorrected formation energy is 2894 meV/atom.

It has space group Pm-3m (No. 221), with a = 4.748 Å, b = 4.748 Å, c = 4.748 Å, α = 90.00°, β = 90.00° and γ = 90.00°. The asymmetric unit holds K at (0.000, 0.000, 0.000), Al at (0.500, 0.500, 0.500) and N at (0.000, 0.000, 0.500).



Q: Which of these has the lowest total energy?
A: SrSn3Rh3